RbTePd | PBE | relaxed

Geometry as POSCAR:
```
RbTePd
1.0
4.552 0.000 0.000
-2.276 3.942 0.000
0.000 0.000 5.541
Rb Te Pd
1 1 1
Cartesian
0.000 0.000 0.000 Rb
2.276 1.314 2.770 Te
0.000 2.628 2.770 Pd
```

Output
total DFT energy (no corrections)	-3.7310	eV/atom
formation energy (no corrections)	-0.6303	eV/atom
volume	33.14	Å³ per atom